WSeOF2 (PBE+U, relaxed); relative energy among the computed polymorphs = 1028 meV per atom; theoretical density = 6.537 g/cm3; symmetry = P4/mmm (123)
1.0
4.611 0.000 0.000
0.000 4.611 0.000
0.000 0.000 3.785
Se F W O
1 2 1 1
direct
0.000 0.000 0.000
0.500 0.000 0.000
0.000 0.500 0.000
0.500 0.500 0.500
0.000 0.000 0.500